## P
Below is a relaxed Na2N2F crystal, with properties calculated at the PBE-GGA level.

The structure in POSCAR format:
```
Na2N2F
1.0
-2.4428 0.8149 0.9538
-0.6657 -2.6117 0.5264
1.0916 -0.3087 7.0123
N Na F
2 2 1
Cartesian
-1.4527 -0.1961 4.3531
-0.5642 -1.9094 4.1394
-1.0161 -0.7784 2.0159
-1.0009 -1.3270 6.4766
0.0000 0.0000 0.0000
```

D(E_F) = 0.8 states/eV per cell
Space-group type = I4/mmm, No. 139

## Q
Below is a relaxed Na2N2F crystal, with properties calculated at the PBE-GGA level.

The structure in POSCAR format:
```
Na2N2F
1.0
3.1457 0.0000 1.0807
1.4537 2.8535 0.8871
-0.7609 0.0394 7.3332
F Na N
1 2 2
Cartesian
0.0000 0.0000 0.0000
1.0920 0.7767 1.9401
2.7465 2.1162 7.3610
2.1089 1.5215 4.0985
1.7296 1.3714 5.2026
```

D(E_F) = 2.4 states/eV per cell
Space-group type = R-3m, No. 166

## R
Below is a relaxed Na2N2F crystal, with properties calculated at the PBE-GGA level.

The structure in POSCAR format:
```
Na2N2F
1.0
-6.2106 -0.8687 -1.7727
-1.3454 -2.4200 5.8994
-0.6798 2.8176 1.0008
Na F N
4 2 4
Cartesian
-2.7301 -0.5487 4.3881
-5.5057 0.0776 0.7393
-2.3393 0.6218 1.3580
-5.8965 -1.0929 3.7695
-3.7780 -1.6443 2.0633
0.0000 0.0000 0.0000
-3.5923 -0.6463 -0.6204
-0.9863 -1.1100 2.4552
-3.9637 -2.6424 4.7471
-6.5698 -2.1787 1.6715
```

D(E_F) = 3.6 states/eV per cell
Space-group type = P4/mbm, No. 127

Quick look at relative energies in meV per atom: P 1102; Q 0; R 215.

## P
Below is a relaxed NaNF2 crystal, with properties calculated at the PBE-GGA level.

The structure in POSCAR format:
```
NaNF2
1.0
0.5136 -3.3062 2.1597
-2.1095 -3.2725 -0.8365
1.7961 -3.1697 -1.6081
N F Na
1 2 1
Cartesian
0.0000 0.0000 0.0000
0.1502 -7.3114 -0.2137
0.0501 -2.4371 -0.0712
0.1001 -4.8742 -0.1425
```

D(E_F) = 8.8 states/eV per cell
Space-group type = Fm-3m, No. 225

## Q
Below is a relaxed NaNF2 crystal, with properties calculated at the PBE-GGA level.

The structure in POSCAR format:
```
NaNF2
1.0
-1.7621 1.7545 -3.4717
-3.7094 -1.9051 0.9200
-4.4315 4.8421 2.0700
Na F N
2 4 2
Cartesian
-4.4647 3.2606 -1.3388
0.0000 0.0000 0.0000
-5.5535 3.4836 0.6397
-3.7311 0.3233 0.4919
-7.9333 3.5911 -0.7244
-2.5883 1.9847 -1.3707
-2.7358 -0.0753 -1.2758
-5.4384 1.4308 0.8571
```

D(E_F) = 0.8 states/eV per cell
Space-group type = I-42d, No. 122

Quick look at relative energies in meV per atom: P 167; Q 0.

## P
Below is a relaxed NaN2F crystal, with properties calculated at the PBE-GGA level.

The structure in POSCAR format:
```
NaN2F
1.0
-2.5817 -2.8861 3.9615
1.5041 -2.4156 4.7529
-1.1296 0.7825 5.3665
F Na N
1 1 2
Cartesian
0.0000 0.0000 0.0000
-1.1036 -2.2596 7.0405
-0.2591 -0.5305 1.6530
-1.9481 -3.9886 12.4280
```

D(E_F) = 2.3 states/eV per cell
Space-group type = R-3m, No. 166

## Q
Below is a relaxed NaN2F crystal, with properties calculated at the PBE-GGA level.

The structure in POSCAR format:
```
NaN2F
1.0
0.0000 3.0924 3.0924
3.0924 0.0000 3.0924
3.0924 3.0924 0.0000
Na F N
1 1 2
Cartesian
3.0924 3.0924 3.0924
0.0000 0.0000 0.0000
4.6386 4.6386 4.6386
1.5462 1.5462 1.5462
```

D(E_F) = 0.0 states/eV per cell
Space-group type = Fm-3m, No. 225

Quick look at relative energies in meV per atom: P 0; Q 13.

## P
Below is a relaxed NaNF3 crystal, with properties calculated at the PBE-GGA level.

The structure in POSCAR format:
```
NaNF3
1.0
-6.0300 -0.2030 -0.1116
-0.0222 -1.4755 3.8872
-0.4303 10.6674 3.8438
N Na F
4 4 12
Cartesian
-0.8311 4.5348 3.8238
-3.6237 -0.0812 -0.0366
-5.6514 4.4541 3.7956
-2.8588 9.0701 7.6560
-5.6347 1.3870 2.4103
-2.6471 2.9378 1.3062
-3.8355 6.0512 6.3132
-0.8478 7.6019 5.2092
-1.5404 2.5957 3.5385
-4.4752 3.3900 2.5391
-1.9086 -1.0537 2.6903
-4.5740 10.0426 4.9292
-5.1379 3.9453 4.9367
-4.4941 0.3300 4.1071
-1.3446 5.0436 2.6828
-1.3515 1.0174 1.2229
-4.9422 6.3933 4.0810
-2.0073 5.5989 5.0804
-5.1310 7.9715 6.3966
-1.9885 8.6589 3.5123
```

D(E_F) = 0.4 states/eV per cell
Space-group type = P2_1/c, No. 14

## Q
Below is a relaxed NaNF3 crystal, with properties calculated at the PBE-GGA level.

The structure in POSCAR format:
```
NaNF3
1.0
3.8363 0.0000 0.0000
0.0000 3.8363 0.0000
0.0000 0.0000 3.8363
N F Na
1 3 1
Cartesian
0.0000 0.0000 0.0000
1.9181 0.0000 0.0000
0.0000 0.0000 1.9181
0.0000 1.9181 0.0000
1.9181 1.9181 1.9181
```

D(E_F) = 1.0 states/eV per cell
Space-group type = Pm-3m, No. 221

Quick look at relative energies in meV per atom: P 0; Q 416.